{
  "formula": "CuWIO2",
  "functional": "GGA+U",
  "state": "optimized geometry",
  "energy_ev_per_atom": -5.34,
  "lattice_angstrom": [[3.876, 0.000, 0.000], [0.000, 3.876, 0.000], [0.000, 0.000, 7.383]],
  "species": ["Cu", "W", "I", "O", "O"],
  "frac_coords": [[0.000, 0.000, 0.000], [0.500, 0.500, 0.500], [0.500, 0.500, 0.000], [0.000, 0.500, 0.500], [0.500, 0.000, 0.500]]
}